This record from the Alexandria database describes a relaxed structure of NbCuRe2Cl. The functional is GGA-PBE.

abc: 4.852 4.997 4.852
angles: 90.00 90.00 90.00
Site moments in Bohr magnetons follow the coordinates.
Fractional coordinates of all 5 atoms:
Cl 0.500 0.500 0.500  0.18
Re 0.000 0.000 0.500  1.61
Re 0.500 0.000 0.000  1.97
Cu 0.000 0.500 0.000  -0.04
Nb 0.000 0.000 0.000  -0.45

Output
energy relative to the elements, uncorrected = 209 kJ/mol of atoms
symmetry = P4/mmm (123)
crystal system = tetragonal
total DFT energy (no corrections) = -0.2210 Ha/atom
Fermi-level density of states = 4.4 states/eV/cell